Here is Li3U7P5O35 after structural relaxation from Alexandria. Energies are from PBE.

Computed properties:
For the raw formation energy, the calculation gives -136.761 eV per formula unit. As for the density of states at the Fermi level: 0.000 states/eV per atom. As for the theoretical density: 5.371 g/cm³.

Lattice parameters (Å, degrees): 10.044 10.044 14.722 90.00 90.00 90.00
Positions (direct):
Li  0.000  0.500  0.210
Li  0.191  0.309  0.644
Li  0.309  0.809  0.356
Li  0.500  0.000  0.790
Li  0.691  0.191  0.356
Li  0.809  0.691  0.644
U  0.000  0.000  0.357
U  0.000  0.000  0.643
U  0.000  0.500  0.488
U  0.238  0.738  0.780
U  0.248  0.252  0.931
U  0.252  0.752  0.069
U  0.262  0.238  0.220
U  0.500  0.000  0.512
U  0.500  0.500  0.357
U  0.500  0.500  0.643
U  0.738  0.762  0.220
U  0.748  0.248  0.069
U  0.752  0.748  0.931
U  0.762  0.262  0.780
P  0.000  0.000  0.136
P  0.000  0.000  0.864
P  0.000  0.500  0.017
P  0.247  0.747  0.561
P  0.253  0.247  0.439
P  0.500  0.000  0.983
P  0.500  0.500  0.136
P  0.500  0.500  0.864
P  0.747  0.753  0.439
P  0.753  0.253  0.561
O  0.000  0.000  0.500
O  0.000  0.500  0.364
O  0.000  0.500  0.611
O  0.080  0.909  0.797
O  0.085  0.905  0.079
O  0.089  0.589  0.080
O  0.090  0.410  0.957
O  0.091  0.080  0.203
O  0.095  0.085  0.921
O  0.112  0.612  0.777
O  0.128  0.871  0.352
O  0.129  0.128  0.648
O  0.135  0.365  0.216
O  0.160  0.660  0.499
O  0.162  0.830  0.630
O  0.164  0.336  0.498
O  0.170  0.162  0.370
O  0.232  0.268  0.809
O  0.236  0.736  0.941
O  0.264  0.236  0.059
O  0.268  0.768  0.191
O  0.330  0.662  0.630
O  0.336  0.836  0.502
O  0.338  0.330  0.370
O  0.340  0.160  0.501
O  0.365  0.865  0.784
O  0.371  0.628  0.352
O  0.372  0.371  0.648
O  0.388  0.112  0.223
O  0.405  0.585  0.079
O  0.409  0.580  0.797
O  0.410  0.910  0.043
O  0.411  0.089  0.920
O  0.415  0.405  0.921
O  0.420  0.409  0.203
O  0.500  0.000  0.389
O  0.500  0.000  0.636
O  0.500  0.500  0.500
O  0.580  0.591  0.203
O  0.585  0.595  0.921
O  0.589  0.911  0.920
O  0.590  0.090  0.043
O  0.591  0.420  0.797
O  0.595  0.415  0.079
O  0.612  0.888  0.223
O  0.628  0.629  0.648
O  0.629  0.372  0.352
O  0.635  0.135  0.784
O  0.660  0.840  0.501
O  0.662  0.670  0.370
O  0.664  0.164  0.502
O  0.670  0.338  0.630
O  0.732  0.232  0.191
O  0.736  0.764  0.059
O  0.764  0.264  0.941
O  0.768  0.732  0.809
O  0.830  0.838  0.370
O  0.836  0.664  0.498
O  0.838  0.170  0.630
O  0.840  0.340  0.499
O  0.865  0.635  0.216
O  0.871  0.872  0.648
O  0.872  0.129  0.352
O  0.888  0.388  0.777
O  0.905  0.915  0.921
O  0.909  0.920  0.203
O  0.910  0.590  0.957
O  0.911  0.411  0.080
O  0.915  0.095  0.079
O  0.920  0.091  0.797